(1)
PBE-GGA ZnCrTe, relaxed; crystal system = triclinic; symmetry = P-1, No. 2; relative energy among the computed polymorphs = 169 meV per atom
1.0
3.248 0.000 0.000
-1.624 4.831 0.000
-0.025 -0.991 8.778
Zn Cr Te
2 2 2
Direct
0.238 0.479 0.383
0.762 0.521 0.617
0.474 0.946 0.600
0.526 0.054 0.400
0.119 0.233 0.805
0.881 0.767 0.195



(2)
PBE-GGA PSN, relaxed; crystal system = monoclinic; symmetry = Pm, No. 6; relative energy among the computed polymorphs = 496 meV per atom
1.0
2.866 0.000 0.000
0.000 2.687 0.000
-1.307 0.000 5.691
P S N
1 1 1
Direct
0.000 0.000 0.000
0.225 0.500 0.494
0.090 0.500 0.197



(3)
PBE-GGA Al3PSe, relaxed; crystal system = cubic; symmetry = Pm-3m, No. 221; relative energy among the computed polymorphs = 496 meV per atom
1.0
4.927 0.000 0.000
0.000 4.927 0.000
0.000 0.000 4.927
Al P Se
3 1 1
Direct
0.000 0.000 0.500
0.000 0.500 0.000
0.500 0.000 0.000
0.500 0.500 0.500
0.000 0.000 0.000